# Tb2BeRu2

An optimized crystal structure of Tb2BeRu2 (PBE, Alexandria via LeMat-Bulk).

Cell: 5.5771 5.5771 5.5771 Å, 144.14 111.51 79.80°
With the nearest neighbours (Å) after each atom.
Fractional coordinates of all 5 atoms:
Tb (0.2039, 0.2039, 0.0000)  6 Ru 2.93-2.96, 2 Be 3.06
Tb (0.7961, 0.7961, 0.0000)  6 Ru 2.93-2.96, 2 Be 3.06
Be (0.5000, 0.0000, 0.5000)  4 Ru 2.30
Ru (0.2554, 0.5000, 0.7554)  2 Be 2.30
Ru (0.7446, 0.5000, 0.2446)  2 Be 2.30

Calculated values
ρ	9.5	g/cm3
ΔE to the lowest computed polymorph	0.00	eV/f.u.
energy relative to the elements	-0.360	eV per atom
raw total energy	-33.3	eV per formula unit


# CdGaIr

An optimized crystal structure of CdGaIr (PBE, Alexandria via LeMat-Bulk).

Cell: 6.9141 4.1669 7.2927 Å, 90.00 90.00 90.00°
With the nearest neighbours (Å) after each atom.
Fractional coordinates of all 12 atoms:
Cd (0.0143, 0.2500, 0.1632)  5 Ga 2.86-3.00, 6 Ir 2.90-3.19, 2 Cd 3.17
Cd (0.4857, 0.7500, 0.6632)  5 Ga 2.86-3.00, 6 Ir 2.90-3.19, 2 Cd 3.17
Cd (0.5143, 0.2500, 0.3368)  5 Ga 2.86-3.00, 6 Ir 2.90-3.19, 2 Cd 3.17
Cd (0.9857, 0.7500, 0.8368)  5 Ga 2.86-3.00, 6 Ir 2.90-3.19, 2 Cd 3.17
Ga (0.2026, 0.7500, 0.3642)  4 Ir 2.49-2.58
Ga (0.2974, 0.2500, 0.8642)  4 Ir 2.49-2.58
Ga (0.7026, 0.7500, 0.1358)  4 Ir 2.49-2.58
Ga (0.7974, 0.2500, 0.6358)  4 Ir 2.49-2.58
Ir (0.1580, 0.2500, 0.5476)  4 Ga 2.49-2.58
Ir (0.3420, 0.7500, 0.0476)  4 Ga 2.49-2.58
Ir (0.6580, 0.2500, 0.9524)  4 Ga 2.49-2.58
Ir (0.8420, 0.7500, 0.4524)  4 Ga 2.49-2.58

Calculated values
ρ	11.8	g/cm3
energy relative to the elements	-0.145	eV per atom
raw total energy	-13.2	eV per formula unit